A plane-wave DFT calculation with PBE was carried out for an optimized crystal structure of UCdSeO6.

POSCAR file:
```
UCdSeO6
1.0
-2.5626 -2.8309 3.9937
5.2491 -1.1604 -1.2767
2.9955 6.4248 6.4763
Cd O U Se
2 12 2 2
Direct
0.0000 0.0000 0.0000
0.0000 0.0000 0.5000
0.6461 0.0064 0.8615
0.6398 0.6461 0.1385
0.6398 0.9936 0.3615
0.3539 0.3602 0.3615
0.0064 0.6461 0.3615
0.9936 0.3539 0.6385
0.0064 0.3602 0.1385
0.6461 0.6398 0.6385
0.3539 0.9936 0.1385
0.3602 0.3539 0.8615
0.9936 0.6398 0.8615
0.3602 0.0064 0.6385
0.6667 0.3333 0.2500
0.3333 0.6667 0.7500
0.3333 0.6667 0.2500
0.6667 0.3333 0.7500
```

Summary:
* Fermi-level density of states: 0.0 states/eV per cell
* raw formation energy: -1.7268 eV/atom
* calculated volume: 14.104 Å³/atom
* crystal system: trigonal